# 1
First-principles (PBE) data for a geometry-optimized Sn2Bi2Se structure, as listed in the Alexandria database.

## Properties
formation energy (no corrections)	106.4	meV/atom
volume	31.08	Å³ per atom
mass density	7.847	g/cm3
space-group type	P4/mbm, No. 127

Unit cell a=8.2838 b=8.2838 c=4.5292 alpha=90.00 beta=90.00 gamma=90.00
Element x y z (fractional)
Bi: 0.3147 0.8147 0.0000
Bi: 0.8147 0.6853 0.0000
Bi: 0.6853 0.1853 0.0000
Bi: 0.1853 0.3147 0.0000
Se: 0.0000 0.0000 0.0000
Se: 0.5000 0.5000 0.0000
Sn: 0.1275 0.6275 0.5000
Sn: 0.6275 0.8725 0.5000
Sn: 0.8725 0.3725 0.5000
Sn: 0.3725 0.1275 0.5000

---

# 2
First-principles (PBE) data for a geometry-optimized Ho3Th2Ru2 structure, as listed in the Alexandria database.

## Properties
volume	26.72	Å³ per atom
mass density	10.308	g/cm3
space-group type	P-1, No. 2
energy	-0.2603	hartree per atom

Unit cell a=3.8131 b=6.2689 c=8.7511 alpha=101.02 beta=102.54 gamma=107.64
Element x y z (fractional)
Ho: 0.5000 0.0000 0.0000
Ho: 0.1982 0.8163 0.5796
Ho: 0.8018 0.1837 0.4204
Th: 0.6390 0.4732 0.8060
Th: 0.3610 0.5268 0.1940
Ru: 0.0471 0.8565 0.2363
Ru: 0.9529 0.1435 0.7637